LiErPO: optimized geometry, GGA-PBE.

Structure (extended XYZ):
```
8
Lattice="-0.923 5.428 0.069 -4.816 -0.786 -2.551 -2.054 -0.400 4.002" Properties=species:S:1:pos:R:3 pbc="T T T"
Li -3.483 0.761 3.371
Li -4.310 3.480 -1.850
Er -2.923 3.675 1.415
Er -4.870 0.567 0.106
O -1.896 3.875 -0.586
O -3.843 0.767 -1.896
P -5.337 3.280 0.151
P -2.456 0.962 1.370
```

**Space-group type**: P4/nmm, No. 129
**ΔE to the lowest computed polymorph**: 407.1 meV per atom

***

AlTl2Ir: optimized geometry, GGA-PBE.

Structure (extended XYZ):
```
4
Lattice="0.000 3.454 3.454 3.454 0.000 3.454 3.454 3.454 0.000" Properties=species:S:1:pos:R:3 pbc="T T T"
Tl 0.000 0.000 0.000
Tl 1.727 1.727 1.727
Ir 3.454 3.454 3.454
Al 5.182 5.182 5.182
```

**Calculated total energy**: -0.1421 hartree per atom
**Space-group type**: F-43m, No. 216

***

ScUTl: optimized geometry, GGA-PBE.

Structure (extended XYZ):
```
3
Lattice="3.388 -1.637 -3.364 3.343 -3.549 1.307 -0.386 -4.657 -1.909" Properties=species:S:1:pos:R:3 pbc="T T T"
Sc 1.586 -2.461 -0.992
Tl 0.000 0.000 0.000
U 4.759 -7.382 -2.975
```

**Space-group type**: F-43m, No. 216
**ΔE to the lowest computed polymorph**: 0.0 meV per atom

***

NaDySeO: optimized geometry, GGA-PBE.

Structure (extended XYZ):
```
16
Lattice="5.605 0.000 -0.694 0.000 5.648 0.000 -1.690 0.000 10.674" Properties=species:S:1:pos:R:3 pbc="T T T"
Se -0.623 0.670 7.269
Se 2.186 3.490 6.921
Se 1.730 0.666 3.059
Se 4.539 3.494 2.711
Na 2.066 0.658 6.000
Na -0.727 3.491 6.338
Na 4.643 0.666 3.642
Na 1.850 3.482 3.980
Dy 2.927 2.021 0.706
Dy 0.125 4.844 1.051
Dy 0.989 4.845 9.274
Dy 3.790 2.020 8.928
O -0.288 3.431 10.495
O 1.401 0.600 -0.173
O 4.204 0.607 -0.516
O 4.204 3.425 -0.520
```

**Space-group type**: P2_1, No. 4
**ΔE to the lowest computed polymorph**: 0.0 meV per atom

***

NaPmNp: optimized geometry, GGA-PBE.

Structure (extended XYZ):
```
3
Lattice="-4.774 -0.982 -1.908 -3.526 3.854 -0.340 -1.382 1.877 -4.687" Properties=species:S:1:pos:R:3 pbc="T T T"
Pm -7.262 3.562 -5.201
Np -2.421 1.187 -1.734
Na 0.000 0.000 0.000
```

**Space-group type**: F-43m, No. 216
**ΔE to the lowest computed polymorph**: 0.0 meV per atom

***

NdYTl2Pt4: optimized geometry, GGA-PBE.

Structure (extended XYZ):
```
8
Lattice="4.668 0.000 0.000 -2.334 4.042 0.000 0.000 0.000 9.115" Properties=species:S:1:pos:R:3 pbc="T T T"
Nd 0.000 0.000 0.000
Tl 2.334 1.347 2.308
Tl 2.334 1.347 6.807
Pt 0.000 0.000 5.947
Pt 0.000 2.695 1.442
Pt 0.000 2.695 7.674
Pt 0.000 0.000 3.168
Y 0.000 2.695 4.558
```

**Calculated total energy**: -0.2112 hartree per atom
**Space-group type**: P-6m2, No. 187

***

SrLaAu2: optimized geometry, GGA-PBE.

Structure (extended XYZ):
```
4
Lattice="4.902 0.000 0.000 0.000 2.017 5.694 0.000 -2.017 5.694" Properties=species:S:1:pos:R:3 pbc="T T T"
Au 0.000 0.000 0.962
Au 2.451 0.000 10.389
Sr 2.451 0.000 7.259
La 0.000 0.000 4.166
```

**Calculated total energy**: -0.1495 hartree per atom
**Space-group type**: Amm2, No. 38

***

ZrSc2Al3Cu2Pd: optimized geometry, GGA-PBE.

Structure (extended XYZ):
```
9
Lattice="-1.626 3.431 -0.606 -6.144 -2.750 0.918 3.436 2.559 5.272" Properties=species:S:1:pos:R:3 pbc="T T T"
Cu -0.557 2.513 3.527
Cu -3.779 0.727 2.063
Al -2.358 1.028 -0.051
Al -2.830 1.573 4.308
Al 0.035 2.354 1.037
Sc 2.000 1.492 3.079
Sc -3.584 -1.603 0.541
Pd -2.692 -0.190 6.155
Zr -1.132 -0.080 2.589
```

**Calculated total energy**: -0.2048 hartree per atom
**Space-group type**: Amm2, No. 38